1.
{
  "formula": "LiOsO3",
  "functional": "GGA-PBE",
  "state": "relaxed",
  "space_group": "P2_1/m, No. 11",
  "dos_at_fermi_per_ev_atom": 0.3868,
  "total_magnetization_mub_per_fu": 0.00,
  "lattice_angstrom": [[3.115, 0.000, 0.000], [0.000, 7.455, 0.593], [0.000, -1.152, 5.275]],
  "species": ["Li", "Li", "Os", "Os", "O", "O", "O", "O", "O", "O"],
  "fractional_positions": [[0.250, 0.379, 0.110], [0.750, 0.621, 0.890], [0.250, 0.810, 0.409], [0.750, 0.190, 0.591], [0.750, 0.718, 0.575], [0.250, 0.282, 0.425], [0.750, 0.348, 0.884], [0.250, 0.035, 0.677], [0.250, 0.652, 0.116], [0.750, 0.965, 0.323]]
}

2.
{
  "formula": "LiOs2O",
  "functional": "GGA-PBE",
  "state": "relaxed",
  "space_group": "I-42d, No. 122",
  "dos_at_fermi_per_ev_atom": 1.0240,
  "total_magnetization_mub_per_fu": 0.77,
  "lattice_angstrom": [[-0.640, -2.450, 4.049], [-2.634, -3.210, -2.359], [3.771, -6.336, -0.422]],
  "species": ["Os", "Os", "Os", "Os", "O", "O", "Li", "Li"],
  "fractional_positions": [[0.853, 0.125, 0.250], [0.897, 0.625, 0.250], [0.375, 0.147, 0.750], [0.875, 0.103, 0.750], [0.000, 0.000, 0.000], [0.750, 0.250, 0.500], [0.500, 0.500, 0.000], [0.250, 0.750, 0.500]]
}

3.
{
  "formula": "LiOsO4",
  "functional": "GGA-PBE",
  "state": "relaxed",
  "space_group": "C2/c, No. 15",
  "dos_at_fermi_per_ev_atom": 0.4306,
  "de_polymorph_mev_per_atom": 4,
  "total_magnetization_mub_per_fu": 0.67,
  "lattice_angstrom": [[-2.003, -4.258, 1.417], [3.414, -1.954, -2.746], [3.439, 2.916, 5.952]],
  "species": ["Li", "Li", "Os", "Os", "O", "O", "O", "O", "O", "O", "O", "O"],
  "fractional_positions": [[0.390, 0.640, 0.280], [0.610, 0.360, 0.720], [0.082, 0.832, 0.663], [0.918, 0.168, 0.337], [0.065, 0.276, 0.171], [0.607, 0.896, 0.171], [0.255, 0.512, 0.583], [0.745, 0.488, 0.417], [0.172, 0.930, 0.417], [0.393, 0.104, 0.829], [0.828, 0.070, 0.583], [0.935, 0.724, 0.829]]
}

4.
{
  "formula": "Li3OsO",
  "functional": "GGA-PBE",
  "state": "relaxed",
  "space_group": "Pm-3m, No. 221",
  "dos_at_fermi_per_ev_atom": 0.5119,
  "de_polymorph_mev_per_atom": 0,
  "total_magnetization_mub_per_fu": 3.00,
  "lattice_angstrom": [[-2.947, 1.596, -2.026], [-2.456, -0.798, 2.944], [0.787, 3.486, 1.601]],
  "species": ["Os", "O", "Li", "Li", "Li"],
  "fractional_positions": [[0.500, 0.500, 0.500], [0.000, 0.000, 0.000], [0.000, 0.500, 0.000], [0.000, 0.000, 0.500], [0.500, 0.000, 0.000]]
}

5.
{
  "formula": "LiOs3O",
  "functional": "GGA-PBE",
  "state": "relaxed",
  "space_group": "Pm-3m, No. 221",
  "dos_at_fermi_per_ev_atom": 1.2738,
  "de_polymorph_mev_per_atom": 1477,
  "total_magnetization_mub_per_fu": 3.73,
  "lattice_angstrom": [[4.122, 0.000, 0.000], [0.000, 4.122, 0.000], [0.000, 0.000, 4.122]],
  "species": ["Os", "Os", "Os", "O", "Li"],
  "fractional_positions": [[0.000, 0.500, 0.000], [0.000, 0.000, 0.500], [0.500, 0.000, 0.000], [0.500, 0.500, 0.500], [0.000, 0.000, 0.000]]
}

6.
{
  "formula": "LiOsO3",
  "functional": "GGA-PBE",
  "state": "relaxed",
  "space_group": "R3c, No. 161",
  "dos_at_fermi_per_ev_atom": 0.5721,
  "total_magnetization_mub_per_fu": 0.00,
  "lattice_angstrom": [[-2.424, -4.614, -1.193], [-0.242, -1.958, -4.969], [2.665, -4.373, -1.536]],
  "species": ["Li", "Li", "Os", "Os", "O", "O", "O", "O", "O", "O"],
  "fractional_positions": [[0.715, 0.715, 0.715], [0.215, 0.215, 0.215], [0.500, 0.500, 0.500], [0.000, 0.000, 0.000], [0.380, 0.121, 0.756], [0.756, 0.380, 0.121], [0.121, 0.756, 0.380], [0.256, 0.621, 0.880], [0.880, 0.256, 0.621], [0.621, 0.880, 0.256]]
}

7.
{
  "formula": "LiOs3O",
  "functional": "GGA-PBE",
  "state": "relaxed",
  "space_group": "Pm-3m, No. 221",
  "dos_at_fermi_per_ev_atom": 1.0855,
  "de_polymorph_mev_per_atom": 0,
  "total_magnetization_mub_per_fu": 0.00,
  "lattice_angstrom": [[-2.891, 2.474, -1.412], [0.576, -1.462, -3.743], [-2.790, -2.866, 0.690]],
  "species": ["Os", "Os", "Os", "O", "Li"],
  "fractional_positions": [[0.000, 0.500, 0.000], [0.000, 0.000, 0.500], [0.500, 0.000, 0.000], [0.000, 0.000, 0.000], [0.500, 0.500, 0.500]]
}

8.
{
  "formula": "LiOsO2",
  "functional": "GGA-PBE",
  "state": "relaxed",
  "space_group": "I-42d, No. 122",
  "dos_at_fermi_per_ev_atom": 0.4366,
  "total_magnetization_mub_per_fu": 0.00,
  "lattice_angstrom": [[-0.505, 2.241, 4.200], [-4.390, -1.852, 0.460], [-0.948, -2.906, 4.164]],
  "species": ["Os", "Os", "O", "O", "O", "O", "Li", "Li"],
  "fractional_positions": [[0.000, 0.000, 0.000], [0.750, 0.250, 0.500], [0.613, 0.125, 0.250], [0.137, 0.625, 0.250], [0.375, 0.387, 0.750], [0.875, 0.863, 0.750], [0.500, 0.500, 0.000], [0.250, 0.750, 0.500]]
}

Number 1: raw formation energy -120.9 kJ per mole of atoms, energy -68.6 eV per cell. Number 2: raw formation energy 80.1 kJ per mole of atoms, energy -52.0 eV per cell. Number 3: raw formation energy -117.4 kJ per mole of atoms, energy -80.6 eV per cell. Number 4: raw formation energy -4.9 kJ per mole of atoms, energy -22.2 eV per cell. Number 5: raw formation energy 226.7 kJ per mole of atoms, energy -28.8 eV per cell. Number 6: raw formation energy -127.7 kJ per mole of atoms, energy -69.3 eV per cell. Number 7: raw formation energy 84.2 kJ per mole of atoms, energy -36.2 eV per cell. Number 8: raw formation energy -75.1 kJ per mole of atoms, energy -52.3 eV per cell.